The following is a PBE calculation of a geometry-optimized LiCuHgGe structure, from OQMD via LeMat-Bulk.

a = 6.3730 Å, b = 6.3730 Å, c = 6.3730 Å
α = 90.00°, β = 90.00°, γ = 90.00°
Closest atoms and distances in Å follow each position.
Space group F-43m (No. 216)
One atom of each set of equivalent atoms:
1 Li 0.0000 0.0000 0.0000 (multiplicity 4)  4 Ge 2.76, 4 Hg 2.76
2 Cu 0.0000 0.0000 0.5000 (multiplicity 4)  4 Hg 2.76, 4 Ge 2.76
3 Hg 0.2500 0.2500 0.7500 (multiplicity 4)  4 Li 2.76, 4 Cu 2.76
4 Ge 0.2500 0.2500 0.2500 (multiplicity 4)  4 Cu 2.76, 4 Li 2.76

Values from the calculation:
Distance to the lowest polymorph of the same formula: 0 meV/atom

***

The following is a PBE calculation of a geometry-optimized HfRe2Bi structure, from OQMD via LeMat-Bulk.

a = 6.6860 Å, b = 6.6860 Å, c = 6.6860 Å
α = 90.00°, β = 90.00°, γ = 90.00°
Closest atoms and distances in Å follow each position.
Space group F-43m (No. 216)
One atom of each set of equivalent atoms:
1 Hf 0.0000 0.0000 0.0000 (multiplicity 4)  4 Re 2.90, 4 Bi 2.90
2 Re 0.0000 0.0000 0.5000 (multiplicity 4)  4 Re 2.90, 4 Bi 2.90
3 Re 0.2500 0.2500 0.2500 (multiplicity 4)  4 Hf 2.90, 4 Re 2.90
4 Bi 0.2500 0.2500 0.7500 (multiplicity 4)  4 Hf 2.90, 4 Re 2.90

Values from the calculation:
Electronic total energy: -144.17 eV/cell
Total magnetization: 0.19 μB per cell

***

The following is a PBE calculation of a geometry-optimized MgZnSn2N4 structure, from OQMD via LeMat-Bulk.

a = 4.7981 Å, b = 4.7981 Å, c = 9.6259 Å
α = 90.00°, β = 90.00°, γ = 90.00°
Closest atoms and distances in Å follow each position.
Space group I-4 (No. 82)
One atom of each set of equivalent atoms:
1 Mg 0.0000 0.0000 0.0000 (multiplicity 2)  4 N 2.08
2 Zn 0.0000 0.5000 0.2500 (multiplicity 2)  4 N 2.07
3 Sn 0.0000 0.0000 0.5000 (multiplicity 2)  4 N 2.08
4 Sn 0.0000 0.5000 0.7500 (multiplicity 2)  4 N 2.08
5 N 0.2488 0.2507 0.1253 (multiplicity 8)  1 Zn 2.07, 1 Mg 2.08, 2 Sn 2.08

Values from the calculation:
Electronic total energy: -90.70 eV/cell